[1]
This record from the Alexandria database describes a relaxed GdScGeAu crystal. The functional is GGA-PBE.

Cell lengths 4.9738, 4.9738, 4.9738 Å; angles 60.00, 60.00, 60.00 degrees
Site moments in Bohr magnetons follow the coordinates.
Positions (direct):
Sc: 0.2500 0.2500 0.2500  -0.32
Ge: 0.5000 0.5000 0.5000  0.06
Gd: 0.7500 0.7500 0.7500  -7.13
Au: 0.0000 0.0000 0.0000  -0.03

- Symmetry: F-43m (216)
- DFT formation energy: -2.9 eV per formula unit

---

[2]
This record from the Alexandria database describes a relaxed Rb3Pm2HoTe6 crystal. The functional is GGA-PBE.

Cell lengths 7.9425, 7.9425, 8.9651 Å; angles 98.50, 98.50, 120.00 degrees
Positions (direct):
Rb: 0.1685 0.8315 0.5000
Rb: 0.8315 0.1685 0.5000
Rb: 0.5000 0.5000 0.5000
Pm: 0.3336 0.6664 0.0000
Pm: 0.6664 0.3336 0.0000
Ho: 0.0000 0.0000 0.0000
Te: 0.9329 0.6061 0.7982
Te: 0.7410 0.7410 0.2025
Te: 0.0671 0.3939 0.2018
Te: 0.6061 0.9329 0.7982
Te: 0.2590 0.2590 0.7975
Te: 0.3939 0.0671 0.2018

- Symmetry: C2/m (12)
- Formation energy without anion corrections: -1395.7 meV per atom

---

Asked for total magnetization across the records above, the calculation gives 7.77, 0.00 μB per formula unit in order.